(1)
# Nb3AuN PBE relaxed
# Raw formation energy (meV/atom): -294
data_Nb3AuN
_chemical_formula_sum 'Nb6 Au2 N2'
_symmetry_space_group_name_H-M 'P 1'
_symmetry_Int_Tables_number 1
_cell_length_a 7.675
_cell_length_b 7.675
_cell_length_c 7.675
_cell_angle_alpha 40.20
_cell_angle_beta 40.20
_cell_angle_gamma 40.20
loop_
_symmetry_equiv_pos_as_xyz
'x,y,z'
loop_
_atom_site_label
_atom_site_fract_x
_atom_site_fract_y
_atom_site_fract_z
_atom_site_occupancy
Nb1 0.886 0.228 0.562 1
Nb2 0.228 0.562 0.886 1
Nb3 0.562 0.886 0.228 1
Nb4 0.438 0.114 0.772 1
Nb5 0.114 0.772 0.438 1
Nb6 0.772 0.438 0.114 1
Au1 0.335 0.335 0.335 1
Au2 0.665 0.665 0.665 1
N1 0.832 0.832 0.832 1
N2 0.168 0.168 0.168 1

=====

(2)
# KSeCl2 PBE relaxed
# Distance to the lowest polymorph of the same formula (meV per atom): 29
# Raw formation energy (meV/atom): -822
data_KSeCl2
_chemical_formula_sum 'K1 Se1 Cl2'
_symmetry_space_group_name_H-M 'P 1'
_symmetry_Int_Tables_number 1
_cell_length_a 8.377
_cell_length_b 8.377
_cell_length_c 8.377
_cell_angle_alpha 33.15
_cell_angle_beta 33.15
_cell_angle_gamma 33.15
loop_
_symmetry_equiv_pos_as_xyz
'x,y,z'
loop_
_atom_site_label
_atom_site_fract_x
_atom_site_fract_y
_atom_site_fract_z
_atom_site_occupancy
Cl1 0.898 0.898 0.898 1
Cl2 0.102 0.102 0.102 1
Se1 0.000 0.000 0.000 1
K1 0.500 0.500 0.500 1

=====

(3)
# CuP2Ru PBE relaxed
# Distance to the lowest polymorph of the same formula (meV per atom): 207
# ΔE_f (eV per formula unit): 0.2
data_CuP2Ru
_chemical_formula_sum 'Cu1 P2 Ru1'
_symmetry_space_group_name_H-M 'P 1'
_symmetry_Int_Tables_number 1
_cell_length_a 3.166
_cell_length_b 3.166
_cell_length_c 6.183
_cell_angle_alpha 90.00
_cell_angle_beta 90.00
_cell_angle_gamma 90.00
loop_
_symmetry_equiv_pos_as_xyz
'x,y,z'
loop_
_atom_site_label
_atom_site_fract_x
_atom_site_fract_y
_atom_site_fract_z
_atom_site_occupancy
P1 0.500 0.500 0.345 1
P2 0.000 0.000 0.887 1
Cu1 0.500 0.500 0.767 1
Ru1 0.000 0.000 0.500 1

=====

(4)
# La2NbAs2 PBE relaxed
# ΔE_f (eV per formula unit): -4.2
data_La2NbAs2
_chemical_formula_sum 'La4 Nb2 As4'
_symmetry_space_group_name_H-M 'P 1'
_symmetry_Int_Tables_number 1
_cell_length_a 7.372
_cell_length_b 7.372
_cell_length_c 4.463
_cell_angle_alpha 90.00
_cell_angle_beta 90.00
_cell_angle_gamma 90.00
loop_
_symmetry_equiv_pos_as_xyz
'x,y,z'
loop_
_atom_site_label
_atom_site_fract_x
_atom_site_fract_y
_atom_site_fract_z
_atom_site_occupancy
La1 0.667 0.833 0.500 1
La2 0.167 0.667 0.500 1
La3 0.833 0.333 0.500 1
La4 0.333 0.167 0.500 1
As1 0.853 0.647 0.000 1
As2 0.647 0.147 0.000 1
As3 0.353 0.853 0.000 1
As4 0.147 0.353 0.000 1
Nb1 0.500 0.500 0.000 1
Nb2 0.000 0.000 0.000 1

=====

(5)
# Ti2Cl3O PBE relaxed
# Raw formation energy (meV/atom): -1819
data_Ti2Cl3O
_chemical_formula_sum 'Ti4 Cl6 O2'
_symmetry_space_group_name_H-M 'P 1'
_symmetry_Int_Tables_number 1
_cell_length_a 3.383
_cell_length_b 9.025
_cell_length_c 9.658
_cell_angle_alpha 111.78
_cell_angle_beta 90.00
_cell_angle_gamma 100.80
loop_
_symmetry_equiv_pos_as_xyz
'x,y,z'
loop_
_atom_site_label
_atom_site_fract_x
_atom_site_fract_y
_atom_site_fract_z
_atom_site_occupancy
O1 0.541 0.082 0.630 1
O2 0.459 0.918 0.370 1
Cl1 0.185 0.370 0.625 1
Cl2 0.367 0.733 0.065 1
Cl3 0.071 0.142 0.258 1
Cl4 0.929 0.858 0.742 1
Cl5 0.633 0.267 0.935 1
Cl6 0.815 0.630 0.375 1
Ti1 0.582 0.164 0.461 1
Ti2 0.929 0.857 0.268 1
Ti3 0.071 0.143 0.732 1
Ti4 0.418 0.836 0.539 1

=====

(6)
# Ac8Ga3CoBr4 PBE relaxed
# Raw formation energy (meV/atom): -821
data_Ac8Ga3CoBr4
_chemical_formula_sum 'Ac8 Ga3 Co1 Br4'
_symmetry_space_group_name_H-M 'P 1'
_symmetry_Int_Tables_number 1
_cell_length_a 9.014
_cell_length_b 9.449
_cell_length_c 9.162
_cell_angle_alpha 119.78
_cell_angle_beta 119.47
_cell_angle_gamma 90.00
loop_
_symmetry_equiv_pos_as_xyz
'x,y,z'
loop_
_atom_site_label
_atom_site_fract_x
_atom_site_fract_y
_atom_site_fract_z
_atom_site_occupancy
Br1 0.000 0.000 0.500 1
Br2 0.000 0.000 0.000 1
Br3 0.500 0.000 0.500 1
Br4 0.500 0.000 0.000 1
Co1 0.000 0.500 0.000 1
Ac1 0.777 0.296 0.019 1
Ac2 0.256 0.267 0.513 1
Ac3 0.242 0.296 0.019 1
Ac4 0.229 0.714 0.459 1
Ac5 0.744 0.733 0.487 1
Ac6 0.223 0.704 0.981 1
Ac7 0.758 0.704 0.981 1
Ac8 0.771 0.286 0.541 1
Ga1 0.000 0.500 0.500 1
Ga2 0.500 0.500 0.500 1
Ga3 0.500 0.500 0.000 1

=====

(7)
# LaYMo2 PBE relaxed
# Distance to the lowest polymorph of the same formula (meV per atom): 471
# ΔE_f (eV per formula unit): 2.6
data_LaYMo2
_chemical_formula_sum 'La1 Y1 Mo2'
_symmetry_space_group_name_H-M 'P 1'
_symmetry_Int_Tables_number 1
_cell_length_a 3.531
_cell_length_b 3.531
_cell_length_c 7.103
_cell_angle_alpha 90.00
_cell_angle_beta 90.00
_cell_angle_gamma 90.00
loop_
_symmetry_equiv_pos_as_xyz
'x,y,z'
loop_
_atom_site_label
_atom_site_fract_x
_atom_site_fract_y
_atom_site_fract_z
_atom_site_occupancy
La1 0.500 0.500 0.750 1
Mo1 0.000 0.000 0.531 1
Mo2 0.000 0.000 0.969 1
Y1 0.500 0.500 0.250 1

=====

(8)
# BaTiVPd2 PBE relaxed
# ΔE_f (eV per formula unit): 8.8
data_BaTiVPd2
_chemical_formula_sum 'Ba1 Ti1 V1 Pd2'
_symmetry_space_group_name_H-M 'P 1'
_symmetry_Int_Tables_number 1
_cell_length_a 5.201
_cell_length_b 5.234
_cell_length_c 5.201
_cell_angle_alpha 90.00
_cell_angle_beta 90.00
_cell_angle_gamma 90.00
loop_
_symmetry_equiv_pos_as_xyz
'x,y,z'
loop_
_atom_site_label
_atom_site_fract_x
_atom_site_fract_y
_atom_site_fract_z
_atom_site_occupancy
Pd1 0.500 0.000 0.000 1
Pd2 0.000 0.000 0.500 1
Ti1 0.500 0.500 0.500 1
Ba1 0.000 0.000 0.000 1
V1 0.000 0.500 0.000 1

=====

What uncorrected energy values result from the calculations? In sequence: -8.6568; -2.8907; -5.9922; -6.6869; -6.1999; -4.3047; -7.6092; -4.0965 eV per atom.